Record 1
Computed, not measured: crystalline Ti3V2SbP6O24 at its relaxed geometry at the GGA-PBEsol level of DFT.

POSCAR file:
```
Ti3V2SbP6O24
1.0
8.361 -0.157 -0.112
3.941 7.375 -0.112
3.941 2.312 7.004
Ti V Sb P O
3 2 1 6 24
direct
0.648 0.648 0.648
0.860 0.860 0.860
0.352 0.352 0.352
0.003 0.003 0.003
0.501 0.501 0.501
0.157 0.157 0.157
0.933 0.249 0.559
0.559 0.933 0.249
0.249 0.559 0.933
0.748 0.457 0.053
0.457 0.053 0.748
0.053 0.748 0.457
0.481 0.106 0.316
0.316 0.481 0.106
0.106 0.316 0.481
0.939 0.097 0.756
0.928 0.173 0.429
0.742 0.410 0.587
0.756 0.939 0.097
0.587 0.742 0.410
0.810 0.620 0.017
0.410 0.587 0.742
0.906 0.262 0.060
0.620 0.017 0.810
0.429 0.928 0.173
0.097 0.756 0.939
0.589 0.435 0.247
0.173 0.429 0.928
0.435 0.247 0.589
0.262 0.060 0.906
0.247 0.589 0.435
0.017 0.810 0.620
0.060 0.906 0.262
0.893 0.675 0.506
0.675 0.506 0.893
0.506 0.893 0.675
```

---

Record 2
Computed, not measured: crystalline Ti3VSb2P6O24 at its relaxed geometry at the GGA-PBEsol level of DFT.

POSCAR file:
```
Ti3VSb2P6O24
1.0
-7.126 -3.071 -3.525
-3.648 -7.014 3.183
-7.693 0.864 4.496
Ti V Sb P O
3 1 2 6 24
direct
0.352 0.352 0.945
0.146 0.146 0.562
0.649 0.649 0.054
0.852 0.852 0.443
0.992 0.992 0.024
0.497 0.497 0.508
0.040 0.749 0.747
0.464 0.040 0.747
0.749 0.464 0.747
0.250 0.540 0.250
0.540 0.961 0.250
0.961 0.250 0.250
0.496 0.875 0.918
0.711 0.496 0.918
0.875 0.711 0.918
0.062 0.925 0.734
0.015 0.776 0.579
0.228 0.576 0.766
0.278 0.062 0.734
0.430 0.228 0.766
0.209 0.377 0.420
0.576 0.430 0.766
0.072 0.729 0.258
0.377 0.994 0.420
0.631 0.015 0.579
0.925 0.278 0.734
0.422 0.569 0.236
0.776 0.631 0.579
0.569 0.774 0.236
0.729 0.941 0.258
0.774 0.422 0.236
0.994 0.209 0.420
0.941 0.072 0.258
0.126 0.288 0.080
0.288 0.506 0.080
0.506 0.126 0.080
```

---

Record 3
Computed, not measured: crystalline TiV3Sb2P6O24 at its relaxed geometry at the GGA-PBEsol level of DFT.

POSCAR file:
```
TiV3Sb2P6O24
1.0
8.564 0.000 0.000
4.282 7.416 0.000
4.282 2.472 7.284
Ti V Sb P O
1 3 2 6 24
direct
0.146 0.146 0.561
0.645 0.645 0.066
0.853 0.853 0.442
0.354 0.354 0.938
0.993 0.993 0.020
0.495 0.495 0.514
0.251 0.963 0.246
0.963 0.540 0.246
0.540 0.251 0.246
0.462 0.750 0.750
0.038 0.462 0.750
0.750 0.038 0.750
0.123 0.512 0.072
0.512 0.293 0.072
0.293 0.123 0.072
0.081 0.934 0.248
0.192 0.003 0.422
0.420 0.771 0.253
0.934 0.736 0.248
0.771 0.556 0.253
0.622 0.796 0.574
0.556 0.420 0.253
0.268 0.917 0.744
0.009 0.622 0.574
0.003 0.383 0.422
0.736 0.081 0.248
0.442 0.577 0.750
0.383 0.192 0.422
0.231 0.442 0.750
0.071 0.268 0.744
0.577 0.231 0.750
0.796 0.009 0.574
0.917 0.071 0.744
0.707 0.879 0.927
0.488 0.707 0.927
0.879 0.488 0.927
```

---

Record 4
Computed, not measured: crystalline V3SbP6O24 at its relaxed geometry at the GGA-PBEsol level of DFT.

POSCAR file:
```
V3SbP6O24
1.0
8.358 0.000 0.000
4.179 7.239 0.000
4.179 2.413 7.258
V Sb P O
3 1 6 24
direct
0.144 0.144 0.568
0.359 0.359 0.924
0.640 0.640 0.080
0.855 0.855 0.434
0.747 0.465 0.753
0.035 0.747 0.753
0.465 0.035 0.753
0.528 0.966 0.251
0.966 0.255 0.251
0.255 0.528 0.251
0.304 0.494 0.073
0.494 0.128 0.073
0.948 0.308 0.712
0.128 0.304 0.073
0.592 0.401 0.777
0.729 0.658 0.587
0.032 0.948 0.712
0.230 0.592 0.777
0.401 0.230 0.777
0.343 0.987 0.416
0.694 0.982 0.273
0.987 0.253 0.416
0.027 0.729 0.587
0.308 0.032 0.712
0.658 0.027 0.587
0.595 0.769 0.230
0.769 0.407 0.230
0.982 0.052 0.273
0.253 0.343 0.416
0.407 0.595 0.230
0.867 0.705 0.926
0.052 0.694 0.273
0.501 0.867 0.926
0.705 0.501 0.926
```

---

no.,uncorrected formation energy (meV/atom),V (Å³ per cell)
1,-2295,440.7
2,-2248,470.5
3,-2148,462.6
4,-2149,439.1